*i*
Material: Na2PbN
Method: DFT, PBE
State: relaxed

The space group is Fm-3m (No. 225) and the conventional cell measures 6.858, 6.858 and 6.858 Å, with angles of 90.00, 90.00 and 90.00 degrees. The inequivalent atoms are Na at (0.250, 0.250, 0.250), Pb at (0.000, 0.000, 0.000) and N at (0.000, 0.000, 0.500).

The value obtained for the density of states at the Fermi level is 6.937 states/eV per cell.


*ii*
Material: Na2PbN
Method: DFT, PBE
State: relaxed

The space group is I-42d (No. 122) and the conventional cell measures 8.878, 8.878 and 4.842 Å, with angles of 90.00, 90.00 and 90.00 degrees. The inequivalent atoms are Na at (0.109, 0.250, 0.125), Pb at (0.000, 0.000, 0.500) and N at (0.000, 0.000, 0.000).

The value obtained for the density of states at the Fermi level is 14.368 states/eV per cell.


On energetic grounds, *ii* is preferred over the next structure by 0.383 eV/atom.